Entry 1:
{"formula": "TlCoCuBi", "functional": "PBE-GGA", "state": "relaxed", "e_above_lowest_polymorph_mev_per_atom": 0, "energy_ev_per_cell": -15.17, "space_group": "F-43m, No. 216", "lattice": [[0.693, 1.885, 4.323], [-2.907, 3.421, 1.602], [-3.066, -0.936, 3.527]], "species": ["Bi", "Co", "Cu", "Tl"], "frac_coords": [[0.000, 0.000, 0.000], [0.250, 0.250, 0.250], [0.750, 0.750, 0.750], [0.500, 0.500, 0.500]]}


Entry 2:
{"formula": "NbNiBiPd", "functional": "PBE-GGA", "state": "relaxed", "e_above_lowest_polymorph_mev_per_atom": 0, "energy_ev_per_cell": -24.34, "space_group": "F-43m, No. 216", "lattice": [[0.000, 3.275, 3.275], [3.275, 0.000, 3.275], [3.275, 3.275, 0.000]], "species": ["Nb", "Bi", "Ni", "Pd"], "frac_coords": [[0.250, 0.250, 0.250], [0.000, 0.000, 0.000], [0.750, 0.750, 0.750], [0.500, 0.500, 0.500]]}


Entry 3:
{"formula": "Mg2ZrCd", "functional": "PBE-GGA", "state": "relaxed", "energy_ev_per_cell": -12.50, "space_group": "F-43m, No. 216", "lattice": [[0.000, 3.488, 3.488], [3.488, 0.000, 3.488], [3.488, 3.488, 0.000]], "species": ["Cd", "Mg", "Mg", "Zr"], "frac_coords": [[0.500, 0.500, 0.500], [0.250, 0.250, 0.250], [0.000, 0.000, 0.000], [0.750, 0.750, 0.750]]}